# 1
PmGe2Sb: relaxed, PBE-GGA.

a = 4.8914 Å, b = 4.8914 Å, c = 5.6280 Å
α = 64.24°, β = 64.24°, γ = 60.00°
Closest atoms and distances in Å follow each position.
Atoms (fractional coordinates):
1 Sb 0.0000 0.0000 0.0000  6 Ge 2.90
2 Ge 0.7127 0.7127 0.8618  3 Sb 2.90, 1 Pm 3.11, 3 Ge 3.13
3 Ge 0.2873 0.2873 0.1382  3 Sb 2.90, 1 Pm 3.11, 3 Ge 3.13
4 Pm 0.5000 0.5000 0.5000  8 Ge 3.11-3.33

Calculated values
SG: No. 166
E above lowest polymorph in eV/f.u.: 0.85
DOS at the Fermi energy in states/eV per atom: 0.5679
Theoretical density in kg/m3: 6783
Formation energy (no corrections) in eV/atom: -0.20
DFT total energy in eV/atom: -4.728

***

# 2
Pm2GeSb4: relaxed, PBE-GGA.

a = 4.3308 Å, b = 4.3308 Å, c = 10.9851 Å
α = 90.00°, β = 90.00°, γ = 90.00°
Closest atoms and distances in Å follow each position.
Atoms (fractional coordinates):
1 Ge 0.5000 0.5000 0.0000  4 Sb 2.88
2 Pm 0.0000 0.5000 0.2744  8 Sb 3.26-3.29
3 Sb 0.0000 0.5000 0.8265  2 Ge 2.88
4 Pm 0.5000 0.0000 0.7256  8 Sb 3.26-3.29
5 Sb 0.5000 0.5000 0.5000  4 Sb 3.06, 4 Pm 3.29
6 Sb 0.0000 0.0000 0.5000  4 Sb 3.06, 4 Pm 3.29
7 Sb 0.5000 0.0000 0.1735  2 Ge 2.88

Calculated values
SG: No. 115
DOS at the Fermi energy in states/eV per atom: 0.2672
Theoretical density in kg/m3: 6848
Formation energy (no corrections) in eV/atom: -0.60
DFT total energy in eV/atom: -4.976

***

# 3
Pm4GeSb2: relaxed, PBE-GGA.

a = 5.3769 Å, b = 5.3769 Å, c = 9.0080 Å
α = 107.36°, β = 107.36°, γ = 90.00°
Closest atoms and distances in Å follow each position.
Atoms (fractional coordinates):
1 Sb 0.3666 0.3666 0.7331  5 Pm 3.15-3.46
2 Pm 0.8262 0.8262 0.6525  1 Ge 2.84, 1 Sb 3.15
3 Pm 0.5000 0.0000 0.0000  2 Ge 2.69
4 Ge 0.0000 0.0000 0.0000  6 Pm 2.69-2.84
5 Pm 0.0000 0.5000 0.0000  2 Ge 2.69
6 Pm 0.1738 0.1738 0.3475  1 Ge 2.84, 1 Sb 3.15
7 Sb 0.6334 0.6334 0.2669  5 Pm 3.15-3.46

Calculated values
SG: No. 139
E above lowest polymorph in eV/f.u.: 1.22
DOS at the Fermi energy in states/eV per atom: 0.7172
Theoretical density in kg/m3: 6303
Formation energy (no corrections) in eV/atom: -0.61
DFT total energy in eV/atom: -5.165

***

# 4
Pm5Ge12Sb3: relaxed, PBE-GGA.

a = 14.5934 Å, b = 14.5934 Å, c = 14.5934 Å
α = 109.47°, β = 109.47°, γ = 109.47°
Closest atoms and distances in Å follow each position.
Atoms (fractional coordinates):
1 Ge 0.2457 0.5853 0.6585  1 Ge 2.54, 1 Sb 2.82
2 Pm 0.0000 0.0000 0.0000  6 Ge 3.05
3 Pm 0.0000 0.0000 0.5000  6 Ge 3.05
4 Sb 0.8750 0.1250 0.2500  8 Ge 2.82-2.99
5 Pm 0.1250 0.3750 0.2500  4 Ge 2.97
6 Pm 0.6250 0.7500 0.8750  4 Ge 2.97
7 Pm 0.0000 0.5000 0.0000  6 Ge 3.05
8 Ge 0.8415 0.5872 0.9268  1 Ge 2.54, 1 Sb 2.82
9 Ge 0.6604 0.4147 0.5732  1 Ge 2.54, 1 Sb 2.82
10 Pm 0.3750 0.2500 0.1250  4 Ge 2.97
11 Ge 0.4268 0.0853 0.3396  1 Ge 2.54, 1 Sb 2.82
12 Ge 0.0853 0.6585 0.7457  1 Ge 2.54, 1 Sb 2.82
13 Ge 0.2543 0.4128 0.8396  1 Ge 2.54, 1 Sb 2.82
14 Pm 0.8750 0.6250 0.7500  4 Ge 2.97
15 Pm 0.5000 0.0000 0.5000  6 Ge 3.05
16 Ge 0.4147 0.6604 0.0732  1 Ge 2.54, 1 Sb 2.82
17 Pm 0.3750 0.1250 0.7500  4 Ge 2.97
18 Ge 0.5732 0.9147 0.6604  1 Ge 2.54, 1 Sb 2.82
19 Ge 0.7543 0.3396 0.9128  1 Ge 2.54, 1 Sb 2.82
20 Ge 0.1604 0.0732 0.9147  1 Ge 2.54, 1 Sb 2.82
21 Ge 0.9268 0.8396 0.5853  1 Ge 2.54, 1 Sb 2.82
22 Ge 0.1604 0.0872 0.7457  1 Ge 2.54, 1 Sb 2.82
23 Pm 0.7500 0.6250 0.3750  4 Ge 2.97
24 Ge 0.4268 0.3415 0.5872  1 Ge 2.54, 1 Sb 2.82
25 Pm 0.2500 0.3750 0.6250  4 Ge 2.97
26 Ge 0.9128 0.8396 0.7543  1 Ge 2.54, 1 Sb 2.82
27 Pm 0.2500 0.8750 0.1250  4 Ge 2.97
28 Ge 0.3396 0.5853 0.4268  1 Ge 2.54, 1 Sb 2.82
29 Ge 0.5872 0.7457 0.6604  1 Ge 2.54, 1 Sb 2.82
30 Ge 0.7457 0.1585 0.0853  1 Ge 2.54, 1 Sb 2.82
31 Sb 0.3750 0.7500 0.6250  8 Ge 2.82-2.99
32 Sb 0.2500 0.1250 0.3750  8 Ge 2.82-2.99
33 Sb 0.8750 0.7500 0.1250  8 Ge 2.82-2.99
34 Ge 0.4128 0.1585 0.5732  1 Ge 2.54, 1 Sb 2.82
35 Sb 0.3750 0.6250 0.2500  8 Ge 2.82-2.99
36 Ge 0.0872 0.9268 0.3415  1 Ge 2.54, 1 Sb 2.82
37 Pm 0.6250 0.8750 0.2500  4 Ge 2.97
38 Sb 0.7500 0.3750 0.1250  8 Ge 2.82-2.99
39 Pm 0.8750 0.2500 0.6250  4 Ge 2.97
40 Ge 0.3396 0.7543 0.4128  1 Ge 2.54, 1 Sb 2.82
41 Ge 0.9268 0.0872 0.8415  1 Ge 2.54, 1 Sb 2.82
42 Ge 0.5872 0.8415 0.4268  1 Ge 2.54, 1 Sb 2.82
43 Pm 0.5000 0.5000 0.5000  6 Ge 3.05
44 Ge 0.9147 0.5732 0.1604  1 Ge 2.54, 1 Sb 2.82
45 Ge 0.6585 0.0853 0.2457  1 Ge 2.54, 1 Sb 2.82
46 Ge 0.4128 0.2543 0.3396  1 Ge 2.54, 1 Sb 2.82
47 Ge 0.8396 0.9128 0.2543  1 Ge 2.54, 1 Sb 2.82
48 Sb 0.7500 0.8750 0.6250  8 Ge 2.82-2.99
49 Ge 0.4147 0.7543 0.8415  1 Ge 2.54, 1 Sb 2.82
50 Ge 0.9128 0.0732 0.6585  1 Ge 2.54, 1 Sb 2.82
51 Ge 0.0872 0.1604 0.2457  1 Ge 2.54, 1 Sb 2.82
52 Ge 0.1585 0.7457 0.5853  1 Ge 2.54, 1 Sb 2.82
53 Ge 0.6604 0.2457 0.5872  1 Ge 2.54, 1 Sb 2.82
54 Ge 0.7457 0.5872 0.1604  1 Ge 2.54, 1 Sb 2.82
55 Pm 0.7500 0.1250 0.8750  4 Ge 2.97
56 Ge 0.2457 0.6604 0.0872  1 Ge 2.54, 1 Sb 2.82
57 Ge 0.8396 0.9268 0.0853  1 Ge 2.54, 1 Sb 2.82
58 Ge 0.1585 0.4128 0.0732  1 Ge 2.54, 1 Sb 2.82
59 Sb 0.1250 0.2500 0.8750  8 Ge 2.82-2.99
60 Pm 0.5000 0.0000 0.0000  6 Ge 3.05
61 Ge 0.5853 0.3396 0.9268  1 Ge 2.54, 1 Sb 2.82
62 Sb 0.6250 0.2500 0.3750  8 Ge 2.82-2.99
63 Ge 0.0853 0.4268 0.8396  1 Ge 2.54, 1 Sb 2.82
64 Ge 0.2543 0.8415 0.9147  1 Ge 2.54, 1 Sb 2.82
65 Sb 0.1250 0.8750 0.7500  8 Ge 2.82-2.99
66 Ge 0.5853 0.2457 0.1585  1 Ge 2.54, 1 Sb 2.82
67 Ge 0.8415 0.2543 0.4147  1 Ge 2.54, 1 Sb 2.82
68 Pm 0.5000 0.5000 0.0000  6 Ge 3.05
69 Sb 0.2500 0.6250 0.8750  8 Ge 2.82-2.99
70 Pm 0.1250 0.7500 0.3750  4 Ge 2.97
71 Ge 0.0732 0.9128 0.1585  1 Ge 2.54, 1 Sb 2.82
72 Ge 0.7543 0.4147 0.3415  1 Ge 2.54, 1 Sb 2.82
73 Ge 0.0732 0.1604 0.4147  1 Ge 2.54, 1 Sb 2.82
74 Sb 0.6250 0.3750 0.7500  8 Ge 2.82-2.99
75 Ge 0.9147 0.3415 0.2543  1 Ge 2.54, 1 Sb 2.82
76 Ge 0.6585 0.5732 0.9128  1 Ge 2.54, 1 Sb 2.82
77 Ge 0.3415 0.4268 0.0872  1 Ge 2.54, 1 Sb 2.82
78 Ge 0.5732 0.6585 0.4128  1 Ge 2.54, 1 Sb 2.82
79 Ge 0.3415 0.9147 0.7543  1 Ge 2.54, 1 Sb 2.82
80 Pm 0.0000 0.5000 0.5000  6 Ge 3.05

Calculated values
SG: No. 230
DOS at the Fermi energy in states/eV per atom: 0.6695
Theoretical density in kg/m3: 5447
Formation energy (no corrections) in eV/atom: 0.15
DFT total energy in eV/atom: -4.425

***

# 5
Pm5Ge2Sb2: relaxed, PBE-GGA.

a = 8.1562 Å, b = 8.1238 Å, c = 8.7825 Å
α = 117.55°, β = 90.00°, γ = 90.00°
Closest atoms and distances in Å follow each position.
Atoms (fractional coordinates):
1 Pm 0.3330 0.7020 0.7415  3 Ge 3.06-3.18, 3 Sb 3.22-3.26
2 Pm 0.0000 0.0000 0.0000  4 Ge 3.17-3.19, 2 Sb 3.20
3 Pm 0.1670 0.2020 0.7415  3 Ge 3.06-3.18, 3 Sb 3.22-3.26
4 Sb 0.5000 0.7052 0.4104  7 Pm 3.20-3.26
5 Pm 0.8330 0.7980 0.2585  3 Ge 3.06-3.18, 3 Sb 3.22-3.26
6 Pm 0.6670 0.2980 0.2585  3 Ge 3.06-3.18, 3 Sb 3.22-3.26
7 Sb 0.5000 0.2948 0.5896  7 Pm 3.20-3.26
8 Pm 0.5000 0.5000 0.0000  4 Ge 3.17-3.19, 2 Sb 3.20
9 Pm 0.1670 0.4605 0.2585  3 Ge 3.06-3.18, 3 Sb 3.22-3.26
10 Ge 0.6319 0.8676 0.0000  1 Ge 3.04, 8 Pm 3.06-3.19
11 Pm 0.8330 0.5395 0.7415  3 Ge 3.06-3.18, 3 Sb 3.22-3.26
12 Sb 0.0000 0.7948 0.5896  7 Pm 3.20-3.26
13 Sb 0.0000 0.2052 0.4104  7 Pm 3.20-3.26
14 Pm 0.3330 0.9605 0.2585  3 Ge 3.06-3.18, 3 Sb 3.22-3.26
15 Ge 0.1319 0.6324 0.0000  1 Ge 3.04, 8 Pm 3.06-3.19
16 Ge 0.3681 0.1324 0.0000  1 Ge 3.04, 8 Pm 3.06-3.19
17 Pm 0.6670 0.0395 0.7415  3 Ge 3.06-3.18, 3 Sb 3.22-3.26
18 Ge 0.8681 0.3676 0.0000  1 Ge 3.04, 8 Pm 3.06-3.19

Calculated values
SG: No. 64
DOS at the Fermi energy in states/eV per atom: 0.7421
Theoretical density in kg/m3: 7169
Formation energy (no corrections) in eV/atom: -0.98
DFT total energy in eV/atom: -5.557

***

# 6
Pm4Ge3Sb: relaxed, PBE-GGA.

a = 6.1229 Å, b = 6.1229 Å, c = 6.1229 Å
α = 90.00°, β = 90.00°, γ = 90.00°
Closest atoms and distances in Å follow each position.
Atoms (fractional coordinates):
1 Sb 0.0000 0.0000 0.0000  6 Pm 3.06
2 Ge 0.5000 0.5000 0.0000  6 Pm 3.06
3 Pm 0.0000 0.5000 0.0000  4 Ge 3.06, 2 Sb 3.06
4 Pm 0.0000 0.0000 0.5000  4 Ge 3.06, 2 Sb 3.06
5 Ge 0.5000 0.0000 0.5000  6 Pm 3.06
6 Pm 0.5000 0.0000 0.0000  4 Ge 3.06, 2 Sb 3.06
7 Pm 0.5000 0.5000 0.5000  6 Ge 3.06
8 Ge 0.0000 0.5000 0.5000  6 Pm 3.06

Calculated values
SG: No. 221
DOS at the Fermi energy in states/eV per atom: 0.8583
Theoretical density in kg/m3: 6653
Formation energy (no corrections) in eV/atom: -0.76
DFT total energy in eV/atom: -5.387

***

# 7
Pm3GeSb2: relaxed, PBE-GGA.

a = 6.2616 Å, b = 8.7467 Å, c = 7.6830 Å
α = 106.49°, β = 114.05°, γ = 90.00°
Closest atoms and distances in Å follow each position.
Atoms (fractional coordinates):
1 Pm 0.1592 0.5797 0.3184  2 Ge 3.05, 4 Sb 3.13-3.16
2 Ge 0.0002 0.2500 0.0000  6 Pm 3.05-3.13
3 Sb 0.6704 0.0850 0.3408  6 Pm 3.13-3.16
4 Pm 0.8408 0.4203 0.6816  2 Ge 3.05, 4 Sb 3.13-3.16
5 Pm 0.8408 0.9203 0.6816  2 Ge 3.05, 4 Sb 3.13-3.16
6 Ge 0.9998 0.7500 0.0000  6 Pm 3.05-3.13
7 Pm 0.4998 0.7500 0.0000  2 Ge 3.13, 4 Sb 3.15
8 Pm 0.1592 0.0797 0.3184  2 Ge 3.05, 4 Sb 3.13-3.16
9 Pm 0.5002 0.2500 0.0000  2 Ge 3.13, 4 Sb 3.15
10 Sb 0.3296 0.4150 0.6592  6 Pm 3.13-3.16
11 Sb 0.3296 0.9150 0.6592  6 Pm 3.13-3.16
12 Sb 0.6704 0.5850 0.3408  6 Pm 3.13-3.16

Calculated values
SG: No. 71
DOS at the Fermi energy in states/eV per atom: 0.5191
Theoretical density in kg/m3: 6831
Formation energy (no corrections) in eV/atom: -1.00
DFT total energy in eV/atom: -5.518

***

# 8
PmGeSb2: relaxed, PBE-GGA.

a = 4.1831 Å, b = 4.1831 Å, c = 8.0103 Å
α = 74.86°, β = 74.86°, γ = 60.00°
Closest atoms and distances in Å follow each position.
Atoms (fractional coordinates):
1 Ge 0.5000 0.5000 0.5000  6 Sb 2.98
2 Sb 0.2431 0.2431 0.2708  3 Ge 2.98, 3 Pm 3.18
3 Sb 0.7569 0.7569 0.7292  3 Ge 2.98, 3 Pm 3.18
4 Pm 0.0000 0.0000 0.0000  6 Sb 3.18

Calculated values
SG: No. 166
E above lowest polymorph in eV/f.u.: 0.47
DOS at the Fermi energy in states/eV per atom: 0.6966
Theoretical density in kg/m3: 6616
Formation energy (no corrections) in eV/atom: -0.31
DFT total energy in eV/atom: -4.718

***

no.,total magnetic moment (Bohr magnetons per cell)
1,0.00
2,0.00
3,0.00
4,0.00
5,0.00
6,0.00
7,0.00
8,0.00